The following is a DFT calculation (PBE) of a geometry-optimized TbTmCS structure.

abc: 3.6854 3.6854 12.8352
angles: 90.00 90.00 120.00
Last column: nearest neighbours and their distance in Å.
Atoms (fractional coordinates):
Tb: 0.0000 0.0000 0.1481  3 C 2.53
Tb: 0.0000 0.0000 0.8519  3 C 2.53
Tm: 0.6667 0.3333 0.3560  3 C 2.50
Tm: 0.6667 0.3333 0.6440  3 C 2.50
C: 0.3333 0.6667 0.2545  3 Tm 2.50, 3 Tb 2.53
C: 0.3333 0.6667 0.7455  3 Tm 2.50, 3 Tb 2.53
S: 0.0000 0.0000 0.5000  6 Tm 2.82
S: 0.6667 0.3333 0.0000  6 Tb 2.85

Calculated values
ρ = 8.18 Mg/m³
Electronic total energy = -6.880 eV/atom

The following is a DFT calculation (PBE) of a geometry-optimized TbTmCS structure.

abc: 3.6847 3.6847 12.8377
angles: 90.00 90.00 120.00
Last column: nearest neighbours and their distance in Å.
Atoms (fractional coordinates):
Tb: 0.3333 0.6667 0.1065  3 C 2.53
Tb: 0.6667 0.3333 0.8935  3 C 2.53
Tm: 0.3333 0.6667 0.3984  3 C 2.50
Tm: 0.6667 0.3333 0.6016  3 C 2.50
C: 0.0000 0.0000 0.0000  6 Tb 2.53
C: 0.0000 0.0000 0.5000  6 Tm 2.50
S: 0.3333 0.6667 0.7451  3 Tm 2.81, 3 Tb 2.86
S: 0.6667 0.3333 0.2549  3 Tm 2.81, 3 Tb 2.86

Calculated values
ρ = 8.18 Mg/m³
Electronic total energy = -6.881 eV/atom

The following is a DFT calculation (PBE) of a geometry-optimized Tb4TmC2S structure.

abc: 3.6635 3.6635 15.5464
angles: 90.00 90.00 120.00
Last column: nearest neighbours and their distance in Å.
Atoms (fractional coordinates):
Tb: 0.0000 0.0000 0.1212  3 C 2.54, 3 S 2.83
Tb: 0.0000 0.0000 0.8788  3 C 2.54, 3 S 2.83
Tb: 0.6667 0.3333 0.2957  3 C 2.48
Tb: 0.6667 0.3333 0.7043  3 C 2.48
Tm: 0.0000 0.0000 0.5000  6 Tm 3.66, 6 Tb 3.82
C: 0.3333 0.6667 0.2119  6 Tb 2.48-2.54
C: 0.3333 0.6667 0.7881  6 Tb 2.48-2.54
S: 0.6667 0.3333 0.0000  6 Tb 2.83

Calculated values
ρ = 7.91 Mg/m³
Electronic total energy = -6.360 eV/atom

The following is a DFT calculation (PBE) of a geometry-optimized TbTmCS structure.

abc: 3.6852 3.6852 12.8362
angles: 90.00 90.00 120.00
Last column: nearest neighbours and their distance in Å.
Atoms (fractional coordinates):
Tb: 0.3333 0.6667 0.0000  3 C 2.52
Tb: 0.6667 0.3333 0.5000  3 C 2.52
Tm: 0.3333 0.6667 0.2920  3 C 2.50, 3 S 2.80
Tm: 0.6667 0.3333 0.7920  3 C 2.50, 3 S 2.80
C: 0.0000 0.0000 0.3947  3 Tm 2.50, 3 Tb 2.52
C: 0.0000 0.0000 0.8947  3 Tm 2.50, 3 Tb 2.52
S: 0.3333 0.6667 0.6502  3 Tm 2.80, 3 Tb 2.87
S: 0.6667 0.3333 0.1502  3 Tm 2.80, 3 Tb 2.87

Calculated values
ρ = 8.18 Mg/m³
Electronic total energy = -6.881 eV/atom

The following is a DFT calculation (PBE) of a geometry-optimized Tb3TmC2S2 structure.

abc: 3.7064 3.7064 12.9191
angles: 90.00 90.00 120.00
Last column: nearest neighbours and their distance in Å.
Atoms (fractional coordinates):
Tb: 0.0000 0.0000 0.0000  3 C 2.53
Tb: 0.0000 0.0000 0.2933  3 C 2.54
Tb: 0.6667 0.3333 0.5044  3 C 2.53
Tm: 0.6667 0.3333 0.7940  3 C 2.51
C: 0.3333 0.6667 0.3994  6 Tb 2.53-2.54
C: 0.3333 0.6667 0.8953  3 Tm 2.51, 3 Tb 2.53
S: 0.0000 0.0000 0.6528  3 Tm 2.81, 3 Tb 2.87
S: 0.6667 0.3333 0.1476  6 Tb 2.85-2.87

Calculated values
ρ = 7.93 Mg/m³
Electronic total energy = -6.882 eV/atom

The following is a DFT calculation (PBE) of a geometry-optimized TbYCS structure.

abc: 3.7200 3.7200 12.9584
angles: 90.00 90.00 120.00
Last column: nearest neighbours and their distance in Å.
Atoms (fractional coordinates):
Tb: 0.0000 0.0000 0.1459  3 C 2.54
Tb: 0.0000 0.0000 0.8541  3 C 2.54
Y: 0.6667 0.3333 0.3547  3 C 2.54
Y: 0.6667 0.3333 0.6453  3 C 2.54
C: 0.3333 0.6667 0.2504  3 Y 2.54, 3 Tb 2.54
C: 0.3333 0.6667 0.7496  3 Y 2.54, 3 Tb 2.54
S: 0.0000 0.0000 0.5000  6 Y 2.86
S: 0.6667 0.3333 0.0000  6 Tb 2.86

Calculated values
ρ = 6.24 Mg/m³
Electronic total energy = -7.359 eV/atom

The following is a DFT calculation (PBE) of a geometry-optimized TbYCS structure.

abc: 3.7201 3.7201 12.9584
angles: 90.00 90.00 120.00
Last column: nearest neighbours and their distance in Å.
Atoms (fractional coordinates):
Tb: 0.3333 0.6667 0.1048  3 C 2.54
Tb: 0.6667 0.3333 0.8952  3 C 2.54
Y: 0.3333 0.6667 0.3960  3 C 2.54
Y: 0.6667 0.3333 0.6040  3 C 2.54
C: 0.0000 0.0000 0.0000  6 Tb 2.54
C: 0.0000 0.0000 0.5000  6 Y 2.54
S: 0.3333 0.6667 0.7493  3 Y 2.86, 3 Tb 2.86
S: 0.6667 0.3333 0.2507  3 Y 2.86, 3 Tb 2.86

Calculated values
ρ = 6.24 Mg/m³
Electronic total energy = -7.359 eV/atom

The following is a DFT calculation (PBE) of a geometry-optimized TbYCS structure.

abc: 3.7199 3.7199 12.9590
angles: 90.00 90.00 120.00
Last column: nearest neighbours and their distance in Å.
Atoms (fractional coordinates):
Tb: 0.3333 0.6667 0.0000  3 C 2.54
Tb: 0.6667 0.3333 0.5000  3 C 2.54
Y: 0.3333 0.6667 0.2912  3 C 2.54
Y: 0.6667 0.3333 0.7912  3 C 2.54
C: 0.0000 0.0000 0.3960  3 Tb 2.54, 3 Y 2.54
C: 0.0000 0.0000 0.8960  3 Tb 2.54, 3 Y 2.54
S: 0.3333 0.6667 0.6467  3 Y 2.85, 3 Tb 2.87
S: 0.6667 0.3333 0.1467  3 Y 2.85, 3 Tb 2.87

Calculated values
ρ = 6.24 Mg/m³
Electronic total energy = -7.359 eV/atom

The following is a DFT calculation (PBE) of a geometry-optimized TbZrCS structure.

abc: 3.5512 3.5512 12.6846
angles: 90.00 90.00 120.00
Last column: nearest neighbours and their distance in Å.
Atoms (fractional coordinates):
Tb: 0.0000 0.0000 0.1510  3 C 2.53, 3 S 2.81
Tb: 0.0000 0.0000 0.8490  3 C 2.53, 3 S 2.81
Zr: 0.3333 0.6667 0.3576  3 C 2.35
Zr: 0.3333 0.6667 0.6424  3 C 2.35
C: 0.6667 0.3333 0.2676  3 Zr 2.35, 3 Tb 2.53
C: 0.6667 0.3333 0.7324  3 Zr 2.35, 3 Tb 2.53
S: 0.0000 0.0000 0.5000  6 Zr 2.73
S: 0.3333 0.6667 0.0000  6 Tb 2.81

Calculated values
Polymorph energy (0 for the lowest one) = 0.0113 eV per atom
ρ = 7.05 Mg/m³
Electronic total energy = -7.888 eV/atom

The following is a DFT calculation (PBE) of a geometry-optimized TbZrCS structure.

abc: 3.5652 3.5652 12.6667
angles: 90.00 90.00 120.00
Last column: nearest neighbours and their distance in Å.
Atoms (fractional coordinates):
Tb: 0.3333 0.6667 0.3918  3 C 2.47
Tb: 0.6667 0.3333 0.6082  3 C 2.47
Zr: 0.3333 0.6667 0.0955  3 C 2.39
Zr: 0.6667 0.3333 0.9045  3 C 2.39
C: 0.0000 0.0000 0.0000  6 Zr 2.39
C: 0.0000 0.0000 0.5000  6 Tb 2.47
S: 0.3333 0.6667 0.7662  3 Zr 2.70, 3 Tb 2.87
S: 0.6667 0.3333 0.2338  3 Zr 2.70, 3 Tb 2.87

Calculated values
Polymorph energy (0 for the lowest one) = 0.0247 eV per atom
ρ = 7.01 Mg/m³
Electronic total energy = -7.875 eV/atom

The following is a DFT calculation (PBE) of a geometry-optimized Tb3ZrC2S2 structure.

abc: 3.6351 3.6351 12.8393
angles: 90.00 90.00 120.00
Last column: nearest neighbours and their distance in Å.
Atoms (fractional coordinates):
Tb: 0.0000 0.0000 0.0000  3 C 2.52
Tb: 0.0000 0.0000 0.2953  3 C 2.56, 3 S 2.81
Tb: 0.3333 0.6667 0.7875  3 C 2.49
Zr: 0.3333 0.6667 0.4981  3 C 2.39
C: 0.6667 0.3333 0.4088  3 Zr 2.39, 3 Tb 2.56
C: 0.6667 0.3333 0.8917  6 Tb 2.49-2.52
S: 0.0000 0.0000 0.6329  3 Zr 2.72, 3 Tb 2.89
S: 0.3333 0.6667 0.1493  6 Tb 2.81-2.84

Calculated values
ρ = 7.42 Mg/m³
Electronic total energy = -7.378 eV/atom

Look up the ρ of the tenth one.
7.01 Mg/m³